Material: TlAg3Se2
Method: DFT, PBE
State: relaxed

Output
E ... -3.1472 eV/atom
Formation energy from raw total energies ... -166 meV per atom
Total magnetic moment ... 0.00 μB/f.u.

a b c (Å): 4.3716 8.6042 8.9568
angles (deg): 114.70 90.00 104.72
Sites, in units of the cell vectors:
Tl: 0.8644 0.7288 0.9416
Tl: 0.1356 0.2712 0.0584
Ag: 0.3146 0.6291 0.5645
Ag: 0.9464 0.8927 0.6022
Ag: 0.5925 0.1851 0.6500
Ag: 0.4075 0.8149 0.3500
Ag: 0.0536 0.1073 0.3978
Ag: 0.6854 0.3709 0.4355
Se: 0.4876 0.9752 0.8004
Se: 0.5124 0.0248 0.1996
Se: 0.7977 0.5954 0.2978
Se: 0.2023 0.4046 0.7022